TbMnHgAu (PBE, optimized geometry); ΔH_f (0 K) = -0.27 eV per atom; E = -4.619 eV/atom
1.0
-0.2488 4.1809 -2.6176
-4.2084 1.2501 -2.2627
-2.6669 3.8058 1.6726
Tb Mn Au Hg
1 1 1 1
direct
0.7500 0.7500 0.7500 Tb
0.2500 0.2500 0.2500 Mn
0.0000 0.0000 0.0000 Au
0.5000 0.5000 0.5000 Hg

=====

TiMnHg2Au (PBE, optimized geometry); ΔH_f (0 K) = 0.96 eV per atom; E = -3.230 eV/atom
1.0
-1.7592 -4.3700 2.1768
0.6465 -2.3783 -4.2521
4.8341 -1.2357 1.4261
Mn Au Hg Ti
1 1 2 1
direct
0.0000 0.5000 0.0000 Mn
0.0000 0.0000 0.0000 Au
0.0000 0.0000 0.5000 Hg
0.5000 0.0000 0.0000 Hg
0.5000 0.5000 0.5000 Ti

=====

HgMoAu (PBE, optimized geometry); ΔH_f (0 K) = 0.42 eV per atom; E = -4.383 eV/atom
1.0
-2.1485 -0.5787 1.9264
0.5221 -1.8562 -2.2235
4.7186 -3.6597 4.1633
Au Hg Mo
1 1 1
direct
0.0000 0.0000 0.9866 Au
0.6667 0.3333 0.3381 Hg
0.3333 0.6667 0.6752 Mo

=====

HgMoAu (PBE, optimized geometry); ΔH_f (0 K) = 0.89 eV per atom; E = -3.909 eV/atom
1.0
4.5592 0.0000 0.0000
2.2796 3.9484 0.0000
2.2796 1.3161 3.7226
Au Hg Mo
1 1 1
direct
0.0000 0.0000 0.0000 Au
0.5000 0.5000 0.5000 Hg
0.7500 0.7500 0.7500 Mo

=====

HgMo2Au (PBE, optimized geometry); ΔH_f (0 K) = 0.33 eV per atom; E = -5.981 eV/atom
1.0
3.3439 0.0000 0.0000
0.0000 3.3439 0.0000
0.0000 0.0000 6.3811
Au Hg Mo
1 1 2
direct
0.0000 0.0000 0.4904 Au
0.5000 0.5000 0.7518 Hg
0.0000 0.0000 0.0359 Mo
0.5000 0.5000 0.2219 Mo

=====

HgMo2Au (PBE, optimized geometry); ΔH_f (0 K) = 0.28 eV per atom; E = -6.031 eV/atom
1.0
2.8401 0.0024 0.0000
-0.9634 2.6717 0.0000
0.0000 0.0000 9.4529
Au Hg Mo
1 1 2
direct
0.0000 0.0000 0.4843 Au
0.5000 0.5000 0.7576 Hg
0.0000 0.0000 0.0223 Mo
0.5000 0.5000 0.2358 Mo

=====

HgMo2Au (PBE, optimized geometry); ΔH_f (0 K) = 0.39 eV per atom; E = -5.921 eV/atom
1.0
5.4644 -0.0039 -0.0064
2.3766 4.9206 0.0064
-3.3331 -3.3951 2.6877
Au Hg Mo
1 1 2
direct
0.5102 0.5102 0.0000 Au
0.2444 0.7444 0.5000 Hg
0.9722 0.9722 0.0000 Mo
0.7732 0.2732 0.5000 Mo

=====

HgMo2Au (PBE, optimized geometry); ΔH_f (0 K) = 0.39 eV per atom; E = -5.917 eV/atom
1.0
-2.6560 -0.1113 -1.0414
-0.5370 -2.2927 1.6145
-2.7351 5.1643 6.4238
Au Hg Mo
1 1 2
direct
0.0000 0.0000 0.4820 Au
0.5000 0.5000 0.7574 Hg
0.0000 0.0000 0.0174 Mo
0.5000 0.5000 0.2432 Mo